(1)
Material: LiCeS
Method: DFT, PBE
State: relaxed

Results
Excess energy over the best structure of this formula in the dataset: 0.0037 eV per atom
D(E_F): 5.45 states/eV/f.u.
Total magnetization: 4.5 Bohr magnetons per cell
Formation energy (no corrections): -3.34 eV/f.u.

Structure (CIF):
```
data_LiCeS
_chemical_formula_sum 'Li4 Ce4 S4'
_symmetry_space_group_name_H-M 'I m m m'
_symmetry_Int_Tables_number 71
_symmetry_space_group_name_Hall '-I 2 2'
_cell_length_a 3.761
_cell_length_b 4.416
_cell_length_c 15.122
_cell_angle_alpha 90.00
_cell_angle_beta 90.00
_cell_angle_gamma 90.00
loop_
_atom_site_label
_atom_site_fract_x
_atom_site_fract_y
_atom_site_fract_z
Li1 0.000 0.238 0.000
Ce1 0.000 0.000 0.335
S1 0.000 0.000 0.147
```

***

(2)
Material: CdBrCl3
Method: DFT, PBE
State: relaxed

Results
Excess energy over the best structure of this formula in the dataset: 0.3720 eV per atom
D(E_F): 3.35 states/eV/f.u.
Total magnetization: 0.6 Bohr magnetons per cell
Formation energy (no corrections): 0.75 eV/f.u.

Structure (CIF):
```
data_CdBrCl3
_chemical_formula_sum 'Cd1 Br1 Cl3'
_symmetry_space_group_name_H-M 'P m -3 m'
_symmetry_Int_Tables_number 221
_symmetry_space_group_name_Hall '-P 4 2 3'
_cell_length_a 5.277
_cell_length_b 5.277
_cell_length_c 5.277
_cell_angle_alpha 90.00
_cell_angle_beta 90.00
_cell_angle_gamma 90.00
loop_
_atom_site_label
_atom_site_fract_x
_atom_site_fract_y
_atom_site_fract_z
Cd1 0.000 0.000 0.000
Br1 0.500 0.500 0.500
Cl1 0.000 0.500 0.500
```

***

(3)
Material: In2FeAg
Method: DFT, PBE
State: relaxed

Results
Excess energy over the best structure of this formula in the dataset: 0.0824 eV per atom
D(E_F): 3.69 states/eV/f.u.
Formation energy from the elements: 1.1 eV per formula unit
Total magnetization: 2.3 Bohr magnetons per cell

Structure (CIF):
```
data_In2FeAg
_chemical_formula_sum 'In2 Fe1 Ag1'
_symmetry_space_group_name_H-M 'P 4 m m'
_symmetry_Int_Tables_number 99
_cell_length_a 3.609
_cell_length_b 3.609
_cell_length_c 5.939
_cell_angle_alpha 90.00
_cell_angle_beta 90.00
_cell_angle_gamma 90.00
loop_
_symmetry_equiv_pos_as_xyz
'x,y,z'
'-y,x,z'
'-x,-y,z'
'y,-x,z'
'-x,y,z'
'y,x,z'
'x,-y,z'
'-y,-x,z'
loop_
_atom_site_label
_atom_site_fract_x
_atom_site_fract_y
_atom_site_fract_z
In1 0.000 0.000 0.000
In2 0.500 0.500 0.313
Fe1 0.500 0.500 0.808
Ag1 0.000 0.000 0.542
```

***

(4)
Material: BaMgRh
Method: DFT, PBE
State: relaxed

Results
D(E_F): 3.68 states/eV/f.u.
Formation energy from the elements: 0.0 eV per formula unit
Total magnetization: 0.0 Bohr magnetons per cell

Structure (CIF):
```
data_BaMgRh
_chemical_formula_sum 'Ba4 Mg4 Rh4'
_symmetry_space_group_name_H-M 'F -4 3 m'
_symmetry_Int_Tables_number 216
_symmetry_space_group_name_Hall 'F -4 2 3'
_cell_length_a 7.078
_cell_length_b 7.078
_cell_length_c 7.078
_cell_angle_alpha 90.00
_cell_angle_beta 90.00
_cell_angle_gamma 90.00
loop_
_atom_site_label
_atom_site_fract_x
_atom_site_fract_y
_atom_site_fract_z
Ba1 0.000 0.000 0.000
Mg1 0.000 0.000 0.500
Rh1 0.250 0.250 0.750
```

***

(5)
Material: LiRe2P
Method: DFT, PBE
State: relaxed

Results
D(E_F): 1.52 states/eV/f.u.
Formation energy from the elements: 0.4 eV per formula unit
Total magnetization: 0.0 Bohr magnetons per cell

Structure (CIF):
```
data_LiRe2P
_chemical_formula_sum 'Li2 Re4 P2'
_symmetry_space_group_name_H-M 'I -4 m 2'
_symmetry_Int_Tables_number 119
_symmetry_space_group_name_Hall 'I -4 -2'
_cell_length_a 3.872
_cell_length_b 3.872
_cell_length_c 7.051
_cell_angle_alpha 90.00
_cell_angle_beta 90.00
_cell_angle_gamma 90.00
loop_
_atom_site_label
_atom_site_fract_x
_atom_site_fract_y
_atom_site_fract_z
Li1 0.000 0.000 0.000
Re1 0.000 0.000 0.500
Re2 0.000 0.500 0.250
P1 0.000 0.500 0.750
```

***

(6)
Material: Mn2FeBr
Method: DFT, PBE
State: relaxed

Results
Excess energy over the best structure of this formula in the dataset: 0.6880 eV per atom
D(E_F): 7.42 states/eV/f.u.
Total magnetization: 0.0 Bohr magnetons per cell
Formation energy (no corrections): 4.20 eV/f.u.

Structure (CIF):
```
data_Mn2FeBr
_chemical_formula_sum 'Mn8 Fe4 Br4'
_symmetry_space_group_name_H-M 'F m -3 m'
_symmetry_Int_Tables_number 225
_symmetry_space_group_name_Hall '-F 4 2 3'
_cell_length_a 5.795
_cell_length_b 5.795
_cell_length_c 5.795
_cell_angle_alpha 90.00
_cell_angle_beta 90.00
_cell_angle_gamma 90.00
loop_
_atom_site_label
_atom_site_fract_x
_atom_site_fract_y
_atom_site_fract_z
Mn1 0.250 0.250 0.250
Fe1 0.000 0.000 0.000
Br1 0.000 0.000 0.500
```

***

What did the fifth record say?
Material: LiRe2P
Method: DFT, PBE
State: relaxed

Results
D(E_F): 1.52 states/eV/f.u.
Formation energy from the elements: 0.4 eV per formula unit
Total magnetization: 0.0 Bohr magnetons per cell

Structure (CIF):
```
data_LiRe2P
_chemical_formula_sum 'Li2 Re4 P2'
_symmetry_space_group_name_H-M 'I -4 m 2'
_symmetry_Int_Tables_number 119
_symmetry_space_group_name_Hall 'I -4 -2'
_cell_length_a 3.872
_cell_length_b 3.872
_cell_length_c 7.051
_cell_angle_alpha 90.00
_cell_angle_beta 90.00
_cell_angle_gamma 90.00
loop_
_atom_site_label
_atom_site_fract_x
_atom_site_fract_y
_atom_site_fract_z
Li1 0.000 0.000 0.000
Re1 0.000 0.000 0.500
Re2 0.000 0.500 0.250
P1 0.000 0.500 0.750
```